# 1
Below is an optimized crystal structure of Cs2ZrBiCl6, with properties calculated at the PBE-GGA level.

The space group is I4/mmm (No. 139) and the conventional cell measures 7.654, 7.654 and 12.900 Å, with angles of 90.00, 90.00 and 90.00 degrees. The distinct sites, in fractional coordinates, are Cs at (0.000, 0.500, 0.250), Zr at (0.000, 0.000, 0.000), Bi at (0.000, 0.000, 0.500), Cl at (0.000, 0.000, 0.196) and Cl at (0.234, 0.234, 0.000).

The value obtained for the uncorrected formation energy is -1446 meV/atom.

***

# 2
Below is an optimized crystal structure of BaBeReBi2, with properties calculated at the PBE-GGA level.

The space group is P4/mmm (No. 123) and the conventional cell measures 5.393, 5.393 and 4.568 Å, with angles of 90.00, 90.00 and 90.00 degrees. The distinct sites, in fractional coordinates, are Ba at (0.000, 0.000, 0.000), Be at (0.500, 0.500, 0.500), Re at (0.500, 0.500, 0.000) and Bi at (0.000, 0.500, 0.500).

The calculation puts the energy of formation from the pure elements at 0.624 eV/atom.

***

# 3
Below is an optimized crystal structure of TcPBr2, with properties calculated at the PBE-GGA level.

The space group is I-4m2 (No. 119) and the conventional cell measures 4.787, 4.787 and 6.792 Å, with angles of 90.00, 90.00 and 90.00 degrees. The distinct sites, in fractional coordinates, are Tc at (0.000, 0.000, 0.000), P at (0.000, 0.500, 0.250), Br at (0.000, 0.000, 0.500) and Br at (0.000, 0.500, 0.750).

The energy above the most stable polymorph in this dataset comes out at 1.159 eV/atom. The value obtained for the uncorrected formation energy is 984 meV/atom.